Entry 1:
Compound: NaSiBiOs
Source: OQMD via LeMat-Bulk
Functional: GGA-PBE
Structure: relaxed

a = 4.814 Å, b = 4.814 Å, c = 4.814 Å
α = 60.00°, β = 60.00°, γ = 60.00°
Atoms (fractional coordinates):
Na (0.000, 0.000, 0.000)
Si (0.250, 0.250, 0.250)
Bi (0.500, 0.500, 0.500)
Os (0.750, 0.750, 0.750)

Computed properties:
Offset from the most stable computed form (meV/atom): 492.6
V (Å³ per atom): 19.7

Entry 2:
Compound: NaSnBiOs
Source: OQMD via LeMat-Bulk
Functional: GGA-PBE
Structure: relaxed

a = 5.012 Å, b = 5.012 Å, c = 5.012 Å
α = 60.00°, β = 60.00°, γ = 60.00°
Atoms (fractional coordinates):
Na (0.000, 0.000, 0.000)
Sn (0.250, 0.250, 0.250)
Bi (0.500, 0.500, 0.500)
Os (0.750, 0.750, 0.750)

Computed properties:
Offset from the most stable computed form (meV/atom): 470.3
V (Å³ per atom): 22.3

Entry 3:
Compound: NaSnBiOs
Source: OQMD via LeMat-Bulk
Functional: GGA-PBE
Structure: relaxed

a = 4.858 Å, b = 4.858 Å, c = 4.858 Å
α = 60.00°, β = 60.00°, γ = 60.00°
Atoms (fractional coordinates):
Na (0.000, 0.000, 0.000)
Sn (0.250, 0.250, 0.250)
Bi (0.750, 0.750, 0.750)
Os (0.500, 0.500, 0.500)

Computed properties:
Offset from the most stable computed form (meV/atom): 0.0
V (Å³ per atom): 20.3

Entry 4:
Compound: Na4BiPPd2
Source: OQMD via LeMat-Bulk
Functional: GGA-PBE
Structure: relaxed

a = 4.678 Å, b = 4.678 Å, c = 7.069 Å
α = 90.00°, β = 90.00°, γ = 90.00°
Atoms (fractional coordinates):
Na (0.000, 0.000, 0.000)
Na (0.000, 0.500, 0.220)
Na (0.500, 0.000, 0.780)
Na (0.500, 0.500, 0.500)
Bi (0.000, 0.000, 0.500)
P (0.500, 0.500, 0.000)
Pd (0.000, 0.500, 0.775)
Pd (0.500, 0.000, 0.225)

Computed properties:
Total DFT energy (no corrections) (eV for the cell shown): -26.8
V (Å³ per atom): 19.3